(1)
DFT (GGA-PBE) results for a relaxed structure of Ni9Pb.

Lattice parameters (Å, degrees): 2.657 3.356 38.264 90.00 90.00 90.00
Fractional coordinates of all 20 atoms:
Ni: 0.250 0.250 0.016
Ni: 0.250 0.250 0.080
Ni: 0.250 0.250 0.144
Ni: 0.250 0.250 0.209
Ni: 0.250 0.250 0.273
Ni: 0.250 0.250 0.759
Ni: 0.250 0.250 0.824
Ni: 0.250 0.250 0.888
Ni: 0.250 0.250 0.952
Ni: 0.750 0.750 0.048
Ni: 0.750 0.750 0.112
Ni: 0.750 0.750 0.176
Ni: 0.750 0.750 0.241
Ni: 0.750 0.750 0.727
Ni: 0.750 0.750 0.791
Ni: 0.750 0.750 0.856
Ni: 0.750 0.750 0.920
Ni: 0.750 0.750 0.984
Pb: 0.250 0.250 0.678
Pb: 0.750 0.750 0.322

energy above the lowest structure with this stoichiometry	0	meV/atom
calculated volume	17.057	Å³/atom
DFT total energy	-5.26	eV per atom
mass density	7.16	g cm⁻³

(2)
DFT (GGA-PBE) results for a relaxed structure of PrYTl2Pt4.

Lattice parameters (Å, degrees): 4.674 4.674 9.143 90.00 90.00 120.00
Fractional coordinates of all 8 atoms:
Pr: 0.000 0.000 0.000
Y: 0.333 0.667 0.500
Tl: 0.667 0.333 0.254
Tl: 0.667 0.333 0.746
Pt: 0.000 0.000 0.348
Pt: 0.000 0.000 0.652
Pt: 0.333 0.667 0.159
Pt: 0.333 0.667 0.841

calculated volume	21.628	Å³/atom
DFT total energy	-5.74	eV per atom
mass density	13.62	g cm⁻³

(3)
DFT (GGA-PBE) results for a relaxed structure of SrTePtO.

Lattice parameters (Å, degrees): 4.640 4.640 8.525 90.00 90.00 90.00
Fractional coordinates of all 8 atoms:
Sr: 0.250 0.750 0.000
Sr: 0.750 0.250 0.000
Te: 0.250 0.250 0.292
Te: 0.750 0.750 0.708
Pt: 0.250 0.250 0.764
Pt: 0.750 0.750 0.236
O: 0.250 0.250 0.512
O: 0.750 0.750 0.488

energy above the lowest structure with this stoichiometry	1054	meV/atom
calculated volume	22.941	Å³/atom
DFT total energy	-4.24	eV per atom
mass density	7.71	g cm⁻³

(4)
DFT (GGA-PBE) results for a relaxed structure of NaErSO.

Lattice parameters (Å, degrees): 6.783 7.183 6.227 90.00 103.85 90.00
Fractional coordinates of all 16 atoms:
Na: 0.086 0.246 0.491
Na: 0.086 0.254 0.991
Na: 0.914 0.746 0.009
Na: 0.914 0.754 0.509
Er: 0.463 0.624 0.766
Er: 0.463 0.876 0.266
Er: 0.537 0.124 0.734
Er: 0.537 0.376 0.234
S: 0.220 0.586 0.337
S: 0.220 0.914 0.837
S: 0.780 0.086 0.163
S: 0.780 0.414 0.663
O: 0.384 0.152 0.381
O: 0.384 0.348 0.881
O: 0.616 0.652 0.119
O: 0.616 0.848 0.619

energy above the lowest structure with this stoichiometry	0	meV/atom
calculated volume	18.413	Å³/atom
DFT total energy	-6.08	eV per atom
mass density	5.37	g cm⁻³

(5)
DFT (GGA-PBE) results for a relaxed structure of Y4MgW.

Lattice parameters (Å, degrees): 7.550 7.550 3.518 90.00 90.00 90.80
Fractional coordinates of all 6 atoms:
Y: 0.247 0.753 0.000
Y: 0.290 0.290 0.500
Y: 0.710 0.710 0.500
Y: 0.753 0.247 0.000
Mg: 0.000 0.000 0.500
W: 0.500 0.500 0.000

calculated volume	33.413	Å³/atom
DFT total energy	-6.11	eV per atom
mass density	4.67	g cm⁻³

(6)
DFT (GGA-PBE) results for a relaxed structure of Sc4Al3Mo2N3.

Lattice parameters (Å, degrees): 5.439 5.439 14.050 100.97 100.97 60.35
Fractional coordinates of all 24 atoms:
Sc: 0.030 0.196 0.092
Sc: 0.136 0.304 0.408
Sc: 0.196 0.030 0.592
Sc: 0.304 0.136 0.908
Sc: 0.696 0.864 0.092
Sc: 0.804 0.970 0.408
Sc: 0.864 0.696 0.592
Sc: 0.970 0.804 0.908
Al: 0.130 0.870 0.250
Al: 0.295 0.417 0.750
Al: 0.417 0.295 0.250
Al: 0.583 0.705 0.750
Al: 0.705 0.583 0.250
Al: 0.870 0.130 0.750
Mo: 0.358 0.526 0.079
Mo: 0.474 0.642 0.421
Mo: 0.526 0.358 0.579
Mo: 0.642 0.474 0.921
N: 0.000 0.500 0.000
N: 0.162 0.669 0.500
N: 0.331 0.838 0.000
N: 0.500 0.000 0.500
N: 0.669 0.162 0.000
N: 0.838 0.331 0.500

calculated volume	14.683	Å³/atom
DFT total energy	-7.86	eV per atom
mass density	4.66	g cm⁻³

(7)
DFT (GGA-PBE) results for a relaxed structure of HfSc2Si.

Lattice parameters (Å, degrees): 4.777 4.777 4.777 60.00 60.00 60.00
Fractional coordinates of all 4 atoms:
Hf: 0.000 0.000 0.000
Sc: 0.250 0.250 0.250
Sc: 0.500 0.500 0.500
Si: 0.750 0.750 0.750

calculated volume	19.265	Å³/atom
DFT total energy	-7.12	eV per atom
mass density	6.39	g cm⁻³

(8)
DFT (GGA-PBE) results for a relaxed structure of SrTmPu.

Lattice parameters (Å, degrees): 5.625 5.625 5.625 60.00 60.00 60.00
Fractional coordinates of all 3 atoms:
Sr: 0.000 0.000 0.000
Tm: 0.750 0.750 0.750
Pu: 0.500 0.500 0.500

energy above the lowest structure with this stoichiometry	0	meV/atom
calculated volume	41.953	Å³/atom
DFT total energy	-5.84	eV per atom
mass density	6.60	g cm⁻³